Record 1
A plane-wave DFT calculation with PBE was carried out for crystalline NaMg at its relaxed geometry.

Calculated values
- space group = P2_1/m
- VASP energy (eV/cell) = -5.50
- magnetic moment (μB per formula unit) = 0.0
- energy of formation from the pure elements (eV per atom) = 0.082
- crystal system = monoclinic

a b c (Å): 3.3170 4.6484 7.4530
angles (deg): 90.00 95.31 90.00
With the nearest neighbours (Å) after each atom.
Sites, in units of the cell vectors:
Na (0.2375, 0.2500, 0.1419)  6 Na 3.32-3.69, 5 Mg 3.37-3.54
Na (0.7625, 0.7500, 0.8581)  6 Na 3.32-3.69, 5 Mg 3.37-3.54
Mg (0.2577, 0.2500, 0.5954)  6 Mg 3.15-3.32, 3 Na 3.37-3.38
Mg (0.7423, 0.7500, 0.4046)  6 Mg 3.15-3.32, 3 Na 3.37-3.38

---

Record 2
A plane-wave DFT calculation with PBE was carried out for crystalline Na13Mg2 at its relaxed geometry.

Calculated values
- space group = P-1
- VASP energy (eV/cell) = -19.59
- magnetic moment (μB per formula unit) = 0.0
- energy of formation from the pure elements (eV per atom) = 0.049
- crystal system = triclinic

a b c (Å): 7.3767 8.7331 9.0080
angles (deg): 66.59 74.80 83.59
With the nearest neighbours (Å) after each atom.
Sites, in units of the cell vectors:
Na (0.0000, 0.0000, 0.0000)  10 Na 3.55-3.89, 2 Mg 3.62
Na (0.1334, 0.4692, 0.7882)  2 Mg 3.40-3.46, 7 Na 3.51-3.75
Na (0.1923, 0.1980, 0.2040)  8 Na 3.39-3.66
Na (0.2520, 0.9382, 0.5916)  7 Na 3.39-3.74, 2 Mg 3.56-3.58
Na (0.3273, 0.6690, 0.0034)  10 Na 3.51-3.92, 1 Mg 3.83
Na (0.3890, 0.4012, 0.4008)  2 Mg 3.36-3.49, 7 Na 3.53-3.75
Na (0.4838, 0.1362, 0.7897)  1 Mg 3.49, 9 Na 3.55-3.83
Na (0.5162, 0.8638, 0.2103)  1 Mg 3.49, 9 Na 3.55-3.83
Na (0.6110, 0.5988, 0.5992)  2 Mg 3.36-3.49, 7 Na 3.53-3.75
Na (0.6727, 0.3310, 0.9966)  10 Na 3.51-3.92, 1 Mg 3.83
Na (0.7480, 0.0618, 0.4084)  7 Na 3.39-3.74, 2 Mg 3.56-3.58
Na (0.8077, 0.8020, 0.7960)  8 Na 3.39-3.66
Na (0.8666, 0.5308, 0.2118)  2 Mg 3.40-3.46, 7 Na 3.51-3.75
Mg (0.0584, 0.7186, 0.4078)  8 Na 3.36-3.62, 1 Mg 3.61
Mg (0.9416, 0.2814, 0.5922)  8 Na 3.36-3.62, 1 Mg 3.61

---

Record 3
A plane-wave DFT calculation with PBE was carried out for crystalline NaMg at its relaxed geometry.

Calculated values
- space group = Fm-3m
- VASP energy (eV/cell) = -2.15
- magnetic moment (μB per formula unit) = 0.0
- energy of formation from the pure elements (eV per atom) = 0.382
- crystal system = cubic

a b c (Å): 4.5738 4.5738 4.5738
angles (deg): 60.00 60.00 60.00
With the nearest neighbours (Å) after each atom.
Sites, in units of the cell vectors:
Na (0.0000, 0.0000, 0.0000)  6 Mg 3.23
Mg (0.5000, 0.5000, 0.5000)  6 Na 3.23